Record 1
CdHgTeN2 | Alexandria via LeMat-Bulk | GGA-PBE | optimized geometry; V = 24.24 Å³ per atom; excess energy over the best structure of this formula in the dataset = 0.1087 eV per atom; uncorrected formation energy = 1.646 eV/atom; uncorrected energy = -12.78 eV for the cell shown
1.0
4.326 0.000 0.000
0.000 4.326 0.000
0.000 0.000 6.477
Cd Hg Te N
1 1 1 2
Direct
0.000 0.000 0.000 Cd
0.500 0.500 0.500 Hg
0.500 0.500 0.000 Te
0.000 0.500 0.500 N
0.500 0.000 0.500 N

=====

Record 2
CdHgTe2N | Alexandria via LeMat-Bulk | GGA-PBE | optimized geometry; V = 23.08 Å³ per atom; excess energy over the best structure of this formula in the dataset = 0.0000 eV per atom; uncorrected formation energy = 0.563 eV/atom; uncorrected energy = -13.01 eV for the cell shown
1.0
5.098 0.000 0.000
0.000 5.098 0.000
0.000 0.000 4.440
Cd Hg Te N
1 1 2 1
Direct
0.000 0.000 0.000 Cd
0.500 0.500 0.000 Hg
0.000 0.500 0.500 Te
0.500 0.000 0.500 Te
0.000 0.000 0.500 N

=====

Record 3
Na4Cd2Hg | Alexandria via LeMat-Bulk | GGA-PBE | optimized geometry; V = 38.29 Å³ per atom; excess energy over the best structure of this formula in the dataset = 0.2228 eV per atom; ΔH_f (0 K) = 0.10 eV per atom; uncorrected energy = -13.36 eV for the cell shown
1.0
5.708 0.000 0.000
0.000 5.708 0.000
0.000 0.000 16.457
Na Cd Hg
8 4 2
Direct
0.000 0.000 0.140 Na
0.000 0.000 0.860 Na
0.000 0.500 0.000 Na
0.000 0.500 0.500 Na
0.500 0.000 0.000 Na
0.500 0.000 0.500 Na
0.500 0.500 0.360 Na
0.500 0.500 0.640 Na
0.000 0.000 0.326 Cd
0.000 0.000 0.674 Cd
0.500 0.500 0.174 Cd
0.500 0.500 0.826 Cd
0.000 0.000 0.500 Hg
0.500 0.500 0.000 Hg